# HfGeIr, relaxed, DFT PBE
data_HfGeIr
_symmetry_space_group_name_H-M 'I 4 m m'
_symmetry_Int_Tables_number 107
_symmetry_space_group_name_Hall 'I 4 -2'
_cell_length_a 3.533
_cell_length_b 3.533
_cell_length_c 8.448
_cell_angle_alpha 90.00
_cell_angle_beta 90.00
_cell_angle_gamma 90.00
loop_
_atom_site_label
_atom_site_fract_x
_atom_site_fract_y
_atom_site_fract_z
Hf1 0.000 0.000 0.000
Ge1 0.000 0.000 0.677
Ir1 0.000 0.000 0.353
# Energy of formation from the pure elements ... -0.403 eV per atom

***

# Ba3Tb2PrTe6, relaxed, DFT PBE
data_Ba3Tb2PrTe6
_symmetry_space_group_name_H-M 'C 1 2/m 1'
_symmetry_Int_Tables_number 12
_symmetry_space_group_name_Hall '-C 2y'
_cell_length_a 8.016
_cell_length_b 13.859
_cell_length_c 8.294
_cell_angle_alpha 90.00
_cell_angle_beta 108.79
_cell_angle_gamma 90.00
loop_
_atom_site_label
_atom_site_fract_x
_atom_site_fract_y
_atom_site_fract_z
Ba1 0.000 0.000 0.000
Ba2 0.000 0.337 0.000
Tb1 0.000 0.168 0.500
Pr1 0.000 0.500 0.500
Te1 0.230 0.000 0.717
Te2 0.244 0.329 0.721
# Energy relative to the elements, uncorrected ... -1.549 eV per atom

***

In order of appearance, energy = -8.214, -4.770 eV per atom.